12
Lattice="5.7142 0.0000 0.0000 -2.8571 4.9486 0.0000 0.0000 0.0000 8.3668" Properties=species:S:1:pos:R:3 comment="CsNbV2O8, relaxed, DFT GGA+U" crystal_system=trigonal total_energy_ev_per_cell=-91.39 pbc="T T T"
V 2.8571 1.6495 2.4459
V 0.0000 3.2991 5.9209
O 4.3102 0.8014 3.0085
O 2.8571 1.6495 0.7964
O -1.4531 4.1472 5.3583
O 1.4611 4.1335 5.3583
O -0.0079 1.6165 5.3583
O 0.0000 3.2991 7.5704
O 1.3960 0.8151 3.0085
O 2.8650 3.3321 3.0085
Nb 0.0000 0.0000 4.1834
Cs 0.0000 0.0000 0.0000